Record 1
Computed, not measured: Na4CdSn after structural relaxation at the GGA-PBE level of DFT.

The structure in POSCAR format:
```
Na4CdSn
1.0
3.2603 -9.2022 0.0000
3.2603 9.2022 0.0000
0.0000 0.0000 5.4011
Na Cd Sn
8 2 2
direct
0.0379 0.4550 0.2500
0.1980 0.2805 0.2500
0.2805 0.1980 0.7500
0.4550 0.0379 0.7500
0.5450 0.9621 0.2500
0.7195 0.8020 0.2500
0.8020 0.7195 0.7500
0.9621 0.5450 0.7500
0.3777 0.6223 0.7500
0.6223 0.3777 0.2500
0.1280 0.8720 0.2500
0.8720 0.1280 0.7500
```

E   -1.802 eV/atom
Formation energy from the elements   -0.10 eV/atom
Polymorph energy (0 for the lowest one)   0 meV/atom


Record 2
Computed, not measured: Mn2MoCl after structural relaxation at the GGA-PBE level of DFT.

The structure in POSCAR format:
```
Mn2MoCl
1.0
0.0000 2.9859 2.9859
2.9859 0.0000 2.9859
2.9859 2.9859 0.0000
Mn Mo Cl
2 1 1
direct
0.2500 0.2500 0.2500
0.7500 0.7500 0.7500
0.0000 0.0000 0.0000
0.5000 0.5000 0.5000
```

E   -6.682 eV/atom
E_form (uncorrected)   4.3 eV per formula unit
Polymorph energy (0 for the lowest one)   930 meV/atom


Record 3
Computed, not measured: K2TlHg2 after structural relaxation at the GGA-PBE level of DFT.

The structure in POSCAR format:
```
K2TlHg2
1.0
10.0573 0.0000 0.0000
0.0000 10.0573 0.0000
0.0000 0.0000 3.6083
K Tl Hg
4 2 4
direct
0.1829 0.3171 0.0000
0.3171 0.8171 0.0000
0.6829 0.1829 0.0000
0.8171 0.6829 0.0000
0.0000 0.0000 0.0000
0.5000 0.5000 0.0000
0.1104 0.6104 0.5000
0.3896 0.1104 0.5000
0.6104 0.8896 0.5000
0.8896 0.3896 0.5000
```

E   -1.126 eV/atom
Formation energy from the elements   -0.09 eV/atom
Polymorph energy (0 for the lowest one)   122 meV/atom